Record 1
Computed, not measured: a geometry-optimized Sr2CrSb2H4 structure at the PBE level of DFT.

Results
* E_tot: -3.956 eV per atom
* total magnetization: 2.29 μB/f.u.

Cell: 6.5433 6.5433 8.1157 Å, 90.00 90.00 90.00°
Space group I4/mmm (No. 139)
Unique sites:
Sr 0.0000 0.5000 0.2500 (multiplicity 4)
Cr 0.0000 0.0000 0.0000 (multiplicity 2)
Sb 0.0000 0.0000 0.3316 (multiplicity 4)
H 0.1870 0.1870 0.0000 (multiplicity 8)

=====

Record 2
Computed, not measured: a geometry-optimized CrSbTe2H structure at the PBE level of DFT.

Results
* total magnetization: 3.18 μB/f.u.
* energy relative to the lowest polymorph listed for this composition: 0.234 eV per atom

Cell: 5.2738 5.2738 5.0771 Å, 90.00 90.00 90.00°
Space group P4/mmm (No. 123)
Unique sites:
Cr 0.0000 0.0000 0.0000 (multiplicity 1)
Sb 0.0000 0.0000 0.5000 (multiplicity 1)
Te 0.0000 0.5000 0.0000 (multiplicity 2)
H 0.5000 0.5000 0.5000 (multiplicity 1)

=====

Record 3
Computed, not measured: a geometry-optimized CrSbTe2H structure at the PBE level of DFT.

Results
* total magnetization: 3.86 μB/f.u.
* energy relative to the lowest polymorph listed for this composition: 0.000 eV per atom

Cell: 5.3471 5.3471 3.8326 Å, 90.00 90.00 90.00°
Space group P4/mmm (No. 123)
Unique sites:
Cr 0.0000 0.0000 0.0000 (multiplicity 1)
Sb 0.5000 0.5000 0.0000 (multiplicity 1)
Te 0.0000 0.5000 0.5000 (multiplicity 2)
H 0.5000 0.5000 0.5000 (multiplicity 1)

=====

Record 4
Computed, not measured: a geometry-optimized Ti2CrSbH structure at the PBE level of DFT.

Results
* E_tot: -6.848 eV per atom
* total magnetization: 0.00 μB/f.u.

Cell: 4.0898 4.0898 3.9451 Å, 90.00 90.00 90.00°
Space group P4/mmm (No. 123)
Unique sites:
Ti 0.0000 0.5000 0.0000 (multiplicity 2)
Cr 0.0000 0.0000 0.5000 (multiplicity 1)
Sb 0.5000 0.5000 0.5000 (multiplicity 1)
H 0.0000 0.0000 0.0000 (multiplicity 1)

=====

Record 5
Computed, not measured: a geometry-optimized VCr2SbH structure at the PBE level of DFT.

Results
* E_tot: -7.117 eV per atom
* total magnetization: 2.59 μB/f.u.

Cell: 4.0126 4.0126 3.8070 Å, 90.00 90.00 90.00°
Space group P4/mmm (No. 123)
Unique sites:
V 0.0000 0.0000 0.0000 (multiplicity 1)
Cr 0.0000 0.5000 0.5000 (multiplicity 2)
Sb 0.5000 0.5000 0.0000 (multiplicity 1)
H 0.0000 0.0000 0.5000 (multiplicity 1)

=====

Record 6
Computed, not measured: a geometry-optimized CrSbH2W structure at the PBE level of DFT.

Results
* E_tot: -5.936 eV per atom
* total magnetization: 1.19 μB/f.u.

Cell: 3.6854 3.6854 4.9635 Å, 90.00 90.00 90.00°
Space group P4/mmm (No. 123)
Unique sites:
Cr 0.0000 0.0000 0.0000 (multiplicity 1)
Sb 0.5000 0.5000 0.0000 (multiplicity 1)
H 0.0000 0.5000 0.5000 (multiplicity 2)
W 0.0000 0.0000 0.5000 (multiplicity 1)

=====

Record 7
Computed, not measured: a geometry-optimized ZnCrSbH2 structure at the PBE level of DFT.

Results
* E_tot: -4.022 eV per atom
* total magnetization: 3.06 μB/f.u.

Cell: 3.7616 3.7616 5.4996 Å, 90.00 90.00 90.00°
Space group P4/mmm (No. 123)
Unique sites:
Zn 0.0000 0.0000 0.0000 (multiplicity 1)
Cr 0.5000 0.5000 0.5000 (multiplicity 1)
Sb 0.5000 0.5000 0.0000 (multiplicity 1)
H 0.0000 0.5000 0.5000 (multiplicity 2)

=====

Record 8
Computed, not measured: a geometry-optimized Zr2CrSbH structure at the PBE level of DFT.

Results
* E_tot: -7.069 eV per atom
* total magnetization: 0.00 μB/f.u.

Cell: 4.4390 4.4390 3.9930 Å, 90.00 90.00 90.00°
Space group P4/mmm (No. 123)
Unique sites:
Zr 0.0000 0.5000 0.0000 (multiplicity 2)
Cr 0.0000 0.0000 0.5000 (multiplicity 1)
Sb 0.5000 0.5000 0.5000 (multiplicity 1)
H 0.0000 0.0000 0.0000 (multiplicity 1)

=====

total magnetization of number 1 (Sr2CrSb2H4)?
2.29 μB/f.u.